# NaBe2InF8

A geometry-optimized NaBe2InF8 structure (PBE, Alexandria).

Summary:
Formation energy from raw total energies, meV per atom: -2922.2

The structure in CIF format:
```
data_NaBe2InF8
_cell_length_a 8.173
_cell_length_b 5.466
_cell_length_c 7.276
_cell_angle_alpha 90.00
_cell_angle_beta 90.65
_cell_angle_gamma 90.00
_space_group_name_H-M_alt 'C 1 2/m 1'
_space_group_IT_number 12
_space_group_name_Hall '-C 2y'
loop_
_atom_site_label
_atom_site_fract_x
_atom_site_fract_y
_atom_site_fract_z
Na1 0.000 0.000 0.000
Be1 0.143 0.500 0.734
In1 0.000 0.000 0.500
F1 0.030 0.261 0.714
F2 0.238 0.500 0.908
F3 0.249 0.500 0.551
```


# NaBeInF6

A geometry-optimized NaBeInF6 structure (PBE, Alexandria).

Summary:
Formation energy from raw total energies, meV per atom: -2731.6

The structure in CIF format:
```
data_NaBeInF6
_cell_length_a 5.1936
_cell_length_b 5.1936
_cell_length_c 9.6777
_cell_angle_alpha 90.00
_cell_angle_beta 90.00
_cell_angle_gamma 120.00
_space_group_name_H-M_alt 'P -3 1 c'
_space_group_IT_number 163
_space_group_name_Hall '-P 3 2c'
loop_
_atom_site_label
_atom_site_fract_x
_atom_site_fract_y
_atom_site_fract_z
Na1 0.0000 0.0000 0.0000
Be1 0.3333 0.6667 0.2500
In1 0.3333 0.6667 0.7500
F1 0.0459 0.3889 0.1439
```


# NaBe2InF6

A geometry-optimized NaBe2InF6 structure (PBE, Alexandria).

Summary:
Formation energy from raw total energies, meV per atom: -2849.0

The structure in CIF format:
```
data_NaBe2InF6
_cell_length_a 10.310
_cell_length_b 10.221
_cell_length_c 5.262
_cell_angle_alpha 90.00
_cell_angle_beta 100.50
_cell_angle_gamma 90.00
_space_group_name_H-M_alt 'C 1 2/c 1'
_space_group_IT_number 15
_space_group_name_Hall '-C 2yc'
loop_
_atom_site_label
_atom_site_fract_x
_atom_site_fract_y
_atom_site_fract_z
Na1 0.000 0.104 0.250
Be1 0.223 0.418 0.288
In1 0.000 0.308 0.750
F1 0.125 0.081 0.658
F2 0.152 0.287 0.239
F3 0.176 0.491 0.531
```